Material: Mg12Tl3Cu
Method: DFT, PBE
State: optimized geometry

Calculated values
Total magnetic moment   0.00 μB/f.u.
Formation energy from the elements   -0.021 eV/atom

a = 4.532 Å, b = 4.532 Å, c = 17.253 Å
α = 90.00°, β = 90.00°, γ = 90.00°
Atoms (fractional coordinates):
Mg 0.000 0.000 0.000
Mg 0.000 0.000 0.238
Mg 0.000 0.000 0.500
Mg 0.000 0.000 0.762
Mg 0.000 0.500 0.108
Mg 0.000 0.500 0.370
Mg 0.000 0.500 0.630
Mg 0.000 0.500 0.892
Mg 0.500 0.000 0.108
Mg 0.500 0.000 0.370
Mg 0.500 0.000 0.630
Mg 0.500 0.000 0.892
Tl 0.500 0.500 0.239
Tl 0.500 0.500 0.500
Tl 0.500 0.500 0.761
Cu 0.500 0.500 0.000